[1]
# TlPIr2 | Alexandria | SCAN | PBEsol geometry
# DFT formation energy   180 meV/atom
# Total DFT energy (no corrections)   -224.2 eV/f.u.
# Volume   16.0 Å³/atom
data_TlPIr2
_cell_length_a 2.8968
_cell_length_b 2.9288
_cell_length_c 7.6227
_cell_angle_alpha 90.00
_cell_angle_beta 99.29
_cell_angle_gamma 90.00
_space_group_name_H-M_alt 'P 1'
_space_group_IT_number 1
_space_group_name_Hall 'P 1'
loop_
_atom_site_label
_atom_site_type_symbol
_atom_site_fract_x
_atom_site_fract_y
_atom_site_fract_z
_atom_site_occupancy
Tl1 Tl 0.0000 0.0000 0.0000 1
P1 P 0.5000 0.0000 0.5000 1
Ir1 Ir 0.0706 0.5000 0.6853 1
Ir2 Ir 0.9294 0.5000 0.3147 1

[2]
# Fe5Rh4 | Alexandria | SCAN | PBEsol geometry
# DFT formation energy   -35 meV/atom
# Total DFT energy (no corrections)   -226.1 eV/f.u.
# Volume   11.9 Å³/atom
data_Fe5Rh4
_cell_length_a 5.6930
_cell_length_b 5.6930
_cell_length_c 5.6930
_cell_angle_alpha 96.04
_cell_angle_beta 96.04
_cell_angle_gamma 142.15
_space_group_name_H-M_alt 'P 1'
_space_group_IT_number 1
_space_group_name_Hall 'P 1'
loop_
_atom_site_label
_atom_site_type_symbol
_atom_site_fract_x
_atom_site_fract_y
_atom_site_fract_z
_atom_site_occupancy
Fe1 Fe 0.0000 0.0000 0.0000 1
Fe2 Fe 0.3393 0.3393 0.6786 1
Fe3 Fe 0.3393 0.6607 0.0000 1
Fe4 Fe 0.6607 0.3393 0.0000 1
Fe5 Fe 0.6607 0.6607 0.3214 1
Rh1 Rh 0.0000 0.3220 0.3220 1
Rh2 Rh 0.0000 0.6780 0.6780 1
Rh3 Rh 0.3220 0.0000 0.3220 1
Rh4 Rh 0.6780 0.0000 0.6780 1

[3]
# NbPd3 | Alexandria | SCAN | PBEsol geometry
# DFT formation energy   -454 meV/atom
# Total DFT energy (no corrections)   -133.3 eV/f.u.
# Volume   15.0 Å³/atom
data_NbPd3
_cell_length_a 4.5358
_cell_length_b 5.4710
_cell_length_c 4.8373
_cell_angle_alpha 90.00
_cell_angle_beta 90.00
_cell_angle_gamma 90.00
_space_group_name_H-M_alt 'P 1'
_space_group_IT_number 1
_space_group_name_Hall 'P 1'
loop_
_atom_site_label
_atom_site_type_symbol
_atom_site_fract_x
_atom_site_fract_y
_atom_site_fract_z
_atom_site_occupancy
Nb1 Nb 0.2500 0.2500 0.1566 1
Nb2 Nb 0.7500 0.7500 0.8434 1
Pd1 Pd 0.2500 0.0002 0.6636 1
Pd2 Pd 0.2500 0.4998 0.6636 1
Pd3 Pd 0.2500 0.7500 0.1612 1
Pd4 Pd 0.7500 0.9998 0.3364 1
Pd5 Pd 0.7500 0.2500 0.8388 1
Pd6 Pd 0.7500 0.5002 0.3364 1

[4]
# CaInPb2 | Alexandria | SCAN | PBEsol geometry
# DFT formation energy   -273 meV/atom
# Total DFT energy (no corrections)   -195.7 eV/f.u.
# Volume   28.7 Å³/atom
data_CaInPb2
_cell_length_a 5.4534
_cell_length_b 5.4534
_cell_length_c 5.4534
_cell_angle_alpha 60.00
_cell_angle_beta 60.00
_cell_angle_gamma 60.00
_space_group_name_H-M_alt 'P 1'
_space_group_IT_number 1
_space_group_name_Hall 'P 1'
loop_
_atom_site_label
_atom_site_type_symbol
_atom_site_fract_x
_atom_site_fract_y
_atom_site_fract_z
_atom_site_occupancy
Ca1 Ca 0.0000 0.0000 0.0000 1
In1 In 0.7500 0.7500 0.7500 1
Pb1 Pb 0.2500 0.2500 0.2500 1
Pb2 Pb 0.5000 0.5000 0.5000 1

[5]
# BaFeAg | Alexandria | SCAN | PBEsol geometry
# DFT formation energy   626 meV/atom
# Total DFT energy (no corrections)   -87.2 eV/f.u.
# Volume   29.4 Å³/atom
data_BaFeAg
_cell_length_a 4.9988
_cell_length_b 4.9988
_cell_length_c 4.9988
_cell_angle_alpha 60.00
_cell_angle_beta 60.00
_cell_angle_gamma 60.00
_space_group_name_H-M_alt 'P 1'
_space_group_IT_number 1
_space_group_name_Hall 'P 1'
loop_
_atom_site_label
_atom_site_type_symbol
_atom_site_fract_x
_atom_site_fract_y
_atom_site_fract_z
_atom_site_occupancy
Ba1 Ba 0.0000 0.0000 0.0000 1
Fe1 Fe 0.5000 0.5000 0.5000 1
Ag1 Ag 0.2500 0.2500 0.2500 1

[6]
# SrAs2P | Alexandria | SCAN | PBEsol geometry
# DFT formation energy   -425 meV/atom
# Total DFT energy (no corrections)   -74.8 eV/f.u.
# Volume   24.1 Å³/atom
data_SrAs2P
_cell_length_a 4.7473
_cell_length_b 4.0095
_cell_length_c 5.2540
_cell_angle_alpha 90.00
_cell_angle_beta 105.24
_cell_angle_gamma 90.00
_space_group_name_H-M_alt 'P 1'
_space_group_IT_number 1
_space_group_name_Hall 'P 1'
loop_
_atom_site_label
_atom_site_type_symbol
_atom_site_fract_x
_atom_site_fract_y
_atom_site_fract_z
_atom_site_occupancy
Sr1 Sr 0.0000 0.0000 0.0000 1
As1 As 0.3819 0.5000 0.7628 1
As2 As 0.6181 0.5000 0.2372 1
P1 P 0.5000 0.0000 0.5000 1

[7]
# ZrSc2In | Alexandria | SCAN | PBEsol geometry
# DFT formation energy   -300 meV/atom
# Total DFT energy (no corrections)   -93.8 eV/f.u.
# Volume   21.7 Å³/atom
data_ZrSc2In
_cell_length_a 5.4923
_cell_length_b 5.4923
_cell_length_c 5.4923
_cell_angle_alpha 133.13
_cell_angle_beta 133.13
_cell_angle_gamma 68.45
_space_group_name_H-M_alt 'P 1'
_space_group_IT_number 1
_space_group_name_Hall 'P 1'
loop_
_atom_site_label
_atom_site_type_symbol
_atom_site_fract_x
_atom_site_fract_y
_atom_site_fract_z
_atom_site_occupancy
Zr1 Zr 0.0000 0.0000 0.0000 1
Sc1 Sc 0.2500 0.7500 0.5000 1
Sc2 Sc 0.7500 0.2500 0.5000 1
In1 In 0.5000 0.5000 0.0000 1

[8]
# LiVP2O8 | Alexandria | SCAN | PBEsol geometry
# ΔE_f (raw)   -2.3943 eV/atom
# Total DFT energy (no corrections)   -119.3 eV/f.u.
# Volume   11.1 Å³/atom
data_LiVP2O8
_cell_length_a 4.8892
_cell_length_b 8.1924
_cell_length_c 7.8093
_cell_angle_alpha 90.00
_cell_angle_beta 121.50
_cell_angle_gamma 90.00
_space_group_name_H-M_alt 'P 1'
_space_group_IT_number 1
_space_group_name_Hall 'P 1'
loop_
_atom_site_label
_atom_site_type_symbol
_atom_site_fract_x
_atom_site_fract_y
_atom_site_fract_z
_atom_site_occupancy
Li1 Li 0.0000 0.0000 0.0000 1
Li2 Li 0.0000 0.5000 0.5000 1
V1 V 0.5000 0.0000 0.5000 1
V2 V 0.5000 0.5000 0.0000 1
P1 P 0.1891 0.1777 0.7414 1
P2 P 0.1891 0.3223 0.2414 1
P3 P 0.8109 0.6777 0.7586 1
P4 P 0.8109 0.8223 0.2586 1
O1 O 0.1606 0.6403 0.9374 1
O2 O 0.1606 0.8597 0.4374 1
O3 O 0.2254 0.1324 0.2724 1
O4 O 0.2254 0.3676 0.7724 1
O5 O 0.2571 0.0978 0.9297 1
O6 O 0.2571 0.4022 0.4297 1
O7 O 0.4153 0.1233 0.6669 1
O8 O 0.4153 0.3767 0.1669 1
O9 O 0.5847 0.6233 0.8331 1
O10 O 0.5847 0.8767 0.3331 1
O11 O 0.7429 0.5978 0.5703 1
O12 O 0.7429 0.9022 0.0703 1
O13 O 0.7746 0.6324 0.2276 1
O14 O 0.7746 0.8676 0.7276 1
O15 O 0.8394 0.1403 0.5626 1
O16 O 0.8394 0.3597 0.0626 1